Record 1
6
Lattice="4.169 0.000 0.000 2.039 3.758 0.000 0.389 -0.170 8.237" Properties=species:S:1:pos:R:3 comment="ZnTeH PBE relaxed" dos_at_fermi_per_ev_cell=1.33 volume_a3_per_atom=21.508 dft_energy_ev_per_atom=-2.371 pbc="T T T"
Zn 1.056 1.453 1.129
Zn 5.540 2.134 7.108
Te 3.114 2.921 2.443
Te 3.482 0.667 5.794
H 1.400 0.689 5.720
H 5.196 2.899 2.517

---

Record 2
11
Lattice="4.675 0.000 0.000 -0.879 6.616 0.000 -2.013 -2.960 5.900" Properties=species:S:1:pos:R:3 comment="In2Ga2Pd7 PBE relaxed" dos_at_fermi_per_ev_cell=3.74 formation_enthalpy_0k_ev_per_atom=-0.52 volume_a3_per_atom=16.591 pbc="T T T"
In 0.128 0.351 1.796
In 1.655 3.305 4.103
Ga 1.131 4.214 1.112
Ga 0.653 -0.558 4.788
Pd -1.680 -0.840 5.702
Pd -0.687 4.264 3.001
Pd -0.758 1.500 4.175
Pd 2.338 0.000 0.000
Pd 2.542 2.156 1.725
Pd 2.470 -0.608 2.899
Pd 3.463 4.497 0.198

---

Record 3
10
Lattice="4.424 0.000 0.000 0.000 4.424 0.000 0.000 0.000 11.524" Properties=species:S:1:pos:R:3 comment="Pr2ErGa3Au4 PBE relaxed" dos_at_fermi_per_ev_cell=7.66 formation_enthalpy_0k_ev_per_atom=-0.67 volume_a3_per_atom=22.556 pbc="T T T"
Pr 0.000 2.212 2.523
Pr 2.212 0.000 9.001
Er 0.000 0.000 5.762
Ga 0.000 2.212 10.075
Ga 2.212 0.000 1.449
Ga 2.212 2.212 5.762
Au 0.000 0.000 0.000
Au 0.000 2.212 7.539
Au 2.212 0.000 3.985
Au 2.212 2.212 0.000

---

Record 4
4
Lattice="0.000 3.000 3.000 3.000 0.000 3.000 3.000 3.000 0.000" Properties=species:S:1:pos:R:3 comment="CaAgC2 PBE relaxed" dos_at_fermi_per_ev_cell=2.48 formation_enthalpy_0k_ev_per_atom=1.61 de_polymorph_ev_per_atom=0.154 volume_a3_per_atom=13.498 pbc="T T T"
Ca 0.000 0.000 0.000
Ag 3.000 3.000 3.000
C 1.500 1.500 1.500
C 4.500 4.500 4.500